Record 1
Material: SrPb3Au
Method: DFT, PBE
State: relaxed

a = 6.1228 Å, b = 6.1228 Å, c = 6.1228 Å
α = 90.00°, β = 90.00°, γ = 90.00°
Site moments in Bohr magnetons follow the coordinates.
Atoms (fractional coordinates):
Pb: 0.0000 0.5000 0.0000  0.10
Pb: 0.0000 0.0000 0.5000  0.06
Pb: 0.5000 0.0000 0.0000  0.07
Sr: 0.0000 0.0000 0.0000  0.11
Au: 0.5000 0.5000 0.5000  0.01

Output
ΔE to the lowest computed polymorph = 1263 meV/atom


Record 2
Material: SrPbAu
Method: DFT, PBE
State: relaxed

a = 5.0350 Å, b = 5.0350 Å, c = 3.9236 Å
α = 90.00°, β = 90.00°, γ = 120.00°
Atoms (fractional coordinates):
Pb: 0.6667 0.3333 0.1667
Sr: 0.3333 0.6667 0.6663
Au: 0.0000 0.0000 0.1669


Record 3
Material: Sr2PbAu
Method: DFT, PBE
State: relaxed

a = 6.5646 Å, b = 6.5646 Å, c = 6.5646 Å
α = 137.54°, β = 137.54°, γ = 61.60°
Atoms (fractional coordinates):
Au: 0.5000 0.5000 0.0000
Pb: 0.7500 0.2500 0.5000
Sr: 0.0000 0.0000 0.0000
Sr: 0.2500 0.7500 0.5000


Record 4
Material: Sr2PbAu
Method: DFT, PBE
State: relaxed

a = 3.8600 Å, b = 3.8600 Å, c = 8.4281 Å
α = 90.00°, β = 90.00°, γ = 89.99°
Atoms (fractional coordinates):
Pb: 0.5000 0.5000 0.7500
Sr: 0.0000 0.0000 0.0209
Sr: 0.0000 0.0000 0.4791
Au: 0.5000 0.5000 0.2500


Record 5
Material: Sr2Pb2Au
Method: DFT, PBE
State: relaxed

a = 4.9221 Å, b = 6.4786 Å, c = 11.1188 Å
α = 87.63°, β = 77.21°, γ = 67.67°
Atoms (fractional coordinates):
Sr: 0.6807 0.3077 0.3310
Sr: 0.9302 0.2551 0.8845
Sr: 0.3193 0.6923 0.6690
Sr: 0.0698 0.7449 0.1155
Pb: 0.0981 0.2517 0.5521
Pb: 0.6415 0.8308 0.8862
Pb: 0.9019 0.7483 0.4479
Pb: 0.3585 0.1692 0.1138
Au: 0.6062 0.1155 0.6721
Au: 0.3938 0.8845 0.3279

Output
ΔE to the lowest computed polymorph = 0 meV/atom


Record 6
Material: Sr2PbAu
Method: DFT, PBE
State: relaxed

a = 4.1969 Å, b = 5.2243 Å, c = 6.6561 Å
α = 90.00°, β = 90.00°, γ = 90.00°
Atoms (fractional coordinates):
Au: 0.0000 0.0000 0.3753
Pb: 0.5000 0.5000 0.8750
Sr: 0.0000 0.0000 0.8749
Sr: 0.5000 0.5000 0.3748


Number 1: formation energy from the elements 0.9735 eV/atom. Number 2: formation energy from the elements -0.6065 eV/atom. Number 3: formation energy from the elements -0.4420 eV/atom. Number 4: formation energy from the elements -0.6525 eV/atom. Number 5: formation energy from the elements -0.5767 eV/atom. Number 6: formation energy from the elements -0.4996 eV/atom.